Li3Tb | PBE | optimized geometry

Computed properties:
ΔE_f in kJ per mole of atoms: 15.8
Crystal system: orthorhombic

a b c (Å): 3.1891 5.2698 5.6226
angles (deg): 90.00 90.00 90.00
Sites, in units of the cell vectors:
Tb: 0.0000 0.5000 0.3275
Li: 0.0000 0.0000 0.9836
Li: 0.5000 0.0000 0.5311
Li: 0.5000 0.5000 0.8244


YB2C2 | PBE | optimized geometry

Computed properties:
ΔE_f in kJ per mole of atoms: -42.6
Crystal system: tetragonal

a b c (Å): 3.5821 5.3576 5.3576
angles (deg): 90.00 90.00 90.00
Sites, in units of the cell vectors:
Y: 0.0000 0.5000 0.5000
Y: 0.0000 0.0000 0.0000
C: 0.5000 0.6617 0.8383
C: 0.5000 0.8383 0.3383
C: 0.5000 0.1617 0.6617
C: 0.5000 0.3383 0.1617
B: 0.5000 0.6368 0.1368
B: 0.5000 0.8632 0.6368
B: 0.5000 0.3632 0.8632
B: 0.5000 0.1368 0.3632


HoBi2Pb | PBE | optimized geometry

Computed properties:
ΔE_f in kJ per mole of atoms: -26.0
Crystal system: trigonal

a b c (Å): 4.4552 4.4552 8.2901
angles (deg): 74.41 74.41 60.00
Sites, in units of the cell vectors:
Pb: 0.5000 0.5000 0.5000
Bi: 0.2555 0.2555 0.2336
Bi: 0.7445 0.7445 0.7664
Ho: 0.0000 0.0000 0.0000


CaSnBr6 | PBE | optimized geometry

Computed properties:
Energy relative to the elements, uncorrected in eV per formula unit: -8.70
Crystal system: monoclinic

a b c (Å): 8.1971 6.9135 7.3693
angles (deg): 98.17 106.29 126.00
Sites, in units of the cell vectors:
Ca: 0.0000 0.0000 0.0000
Sn: 0.5000 0.0000 0.0000
Br: 0.8705 0.1399 0.2911
Br: 0.5794 0.8488 0.7089
Br: 0.4206 0.1512 0.2911
Br: 0.1295 0.8601 0.7089
Br: 0.2586 0.5250 0.0000
Br: 0.7414 0.4750 0.0000


Li2PtSe | PBE | optimized geometry

Computed properties:
Energy relative to the elements, uncorrected in eV per formula unit: -2.05
Crystal system: monoclinic

a b c (Å): 4.3392 4.3392 5.2569
angles (deg): 80.99 80.99 39.02
Sites, in units of the cell vectors:
Li: 0.0010 0.0010 0.0042
Li: 0.4990 0.4990 0.4958
Pt: 0.2500 0.2500 0.2500
Se: 0.7500 0.7500 0.7500


V4Co | PBE | optimized geometry

Computed properties:
ΔE_f in kJ per mole of atoms: 31.4
Crystal system: tetragonal

a b c (Å): 5.7362 5.7362 5.7362
angles (deg): 104.17 104.17 120.70
Sites, in units of the cell vectors:
V: 0.6740 0.3744 0.2996
V: 0.0748 0.3744 0.7004
V: 0.1244 0.3248 0.2004
V: 0.1244 0.9240 0.7996
V: 0.6752 0.8756 0.7996
V: 0.0760 0.8756 0.2004
V: 0.6256 0.9252 0.2996
V: 0.6256 0.3260 0.7004
Co: 0.5000 0.5000 0.0000
Co: 0.2500 0.7500 0.5000


K3RbNp2Se6 | PBE | optimized geometry

Computed properties:
Energy relative to the elements, uncorrected in eV per formula unit: -14.50
Crystal system: monoclinic

a b c (Å): 4.3221 9.4122 10.1139
angles (deg): 104.24 102.34 90.00
Site moments in Bohr magnetons follow the coordinates.
Sites, in units of the cell vectors:
K: 0.5000 0.5000 0.0000  -0.01
K: 0.8441 0.1636 0.6881  0.00
K: 0.1559 0.8364 0.3119  0.00
Rb: 0.5000 0.0000 0.0000  -0.01
Np: 0.8295 0.6610 0.6590  3.42
Np: 0.1705 0.3390 0.3410  3.42
Se: 0.3231 0.8582 0.6462  -0.10
Se: 0.6788 0.5524 0.3575  -0.12
Se: 0.6769 0.1418 0.3538  -0.10
Se: 0.0297 0.2765 0.0595  -0.12
Se: 0.9703 0.7235 0.9405  -0.12
Se: 0.3212 0.4476 0.6425  -0.12


SrLi2Ge | PBE | optimized geometry

Computed properties:
ΔE_f in kJ per mole of atoms: -35.8
Crystal system: trigonal

a b c (Å): 4.6286 4.6286 5.9391
angles (deg): 67.08 67.08 60.01
Sites, in units of the cell vectors:
Sr: 0.4899 0.4899 0.5301
Li: 0.0097 0.0097 0.9714
Li: 0.3059 0.3059 0.0820
Ge: 0.6946 0.6946 0.9165


CoMo6N | PBE | optimized geometry

Computed properties:
Energy relative to the elements, uncorrected in eV per formula unit: 2.58
Crystal system: trigonal

a b c (Å): 5.4343 5.4343 5.5750
angles (deg): 60.83 60.83 60.00
Site moments in Bohr magnetons follow the coordinates.
Sites, in units of the cell vectors:
Co: 0.5000 0.5000 0.5000  1.01
Mo: 0.0150 0.4419 0.7484  0.04
Mo: 0.7947 0.0150 0.7484  0.04
Mo: 0.5581 0.2053 0.2516  0.04
Mo: 0.2053 0.9850 0.2516  0.04
Mo: 0.9850 0.5581 0.2516  0.04
Mo: 0.4419 0.7947 0.7484  0.04
N: 0.0000 0.0000 0.0000  -0.01


EuBi2IO4 | PBE | optimized geometry

Computed properties:
Energy relative to the elements, uncorrected in eV per formula unit: -13.28
Crystal system: tetragonal

a b c (Å): 3.9847 3.9847 9.8298
angles (deg): 90.00 90.00 90.00
Site moments in Bohr magnetons follow the coordinates.
Sites, in units of the cell vectors:
Eu: 0.0000 0.0000 0.0000  -6.27
Bi: 0.5000 0.5000 0.2578  -0.01
Bi: 0.5000 0.5000 0.7422  -0.01
I: 0.0000 0.0000 0.5000  0.02
O: 0.5000 0.0000 0.8523  0.07
O: 0.0000 0.5000 0.8523  0.07
O: 0.5000 0.0000 0.1477  0.07
O: 0.0000 0.5000 0.1477  0.07


Tb4NdZn5 | PBE | optimized geometry

Computed properties:
ΔE_f in kJ per mole of atoms: -31.8
Crystal system: tetragonal

a b c (Å): 3.6017 3.6017 18.0232
angles (deg): 90.00 90.00 90.00
Sites, in units of the cell vectors:
Tb: 0.0000 0.0000 0.2040
Tb: 0.0000 0.0000 0.4016
Tb: 0.0000 0.0000 0.5984
Tb: 0.0000 0.0000 0.7960
Nd: 0.0000 0.0000 0.0000
Zn: 0.5000 0.5000 0.1074
Zn: 0.5000 0.5000 0.3022
Zn: 0.5000 0.5000 0.5000
Zn: 0.5000 0.5000 0.6978
Zn: 0.5000 0.5000 0.8926


YZnSi3 | PBE | optimized geometry

Computed properties:
Energy relative to the elements, uncorrected in eV per formula unit: 6.08
Crystal system: cubic

a b c (Å): 5.3728 5.3728 5.3728
angles (deg): 90.00 90.00 90.00
Sites, in units of the cell vectors:
Y: 0.0000 0.0000 0.0000
Zn: 0.5000 0.5000 0.5000
Si: 0.0000 0.5000 0.0000
Si: 0.0000 0.0000 0.5000
Si: 0.5000 0.0000 0.0000


Tl12H5Pd3 | PBE | optimized geometry

Computed properties:
Total energy in eV/atom: -2.86
Crystal system: cubic

a b c (Å): 13.1831 13.1831 13.1831
angles (deg): 109.47 109.47 109.47
Sites, in units of the cell vectors:
Pd: 0.7500 0.3750 0.1250
Pd: 0.8750 0.7500 0.1250
Pd: 0.3750 0.7500 0.6250
Pd: 0.2500 0.1250 0.3750
Pd: 0.8750 0.1250 0.2500
Pd: 0.3750 0.6250 0.2500
Pd: 0.6250 0.3750 0.7500
Pd: 0.1250 0.8750 0.7500
Pd: 0.7500 0.8750 0.6250
Pd: 0.6250 0.2500 0.3750
Pd: 0.1250 0.2500 0.8750
Pd: 0.2500 0.6250 0.8750
H: 0.1250 0.3750 0.2500
H: 0.0000 0.5000 0.0000
H: 0.0000 0.0000 0.0000
H: 0.3750 0.2500 0.1250
H: 0.5000 0.0000 0.5000
H: 0.5000 0.5000 0.0000
H: 0.1250 0.7500 0.3750
H: 0.7500 0.1250 0.8750
H: 0.7500 0.6250 0.3750
H: 0.3750 0.1250 0.7500
H: 0.6250 0.8750 0.2500
H: 0.5000 0.5000 0.5000
H: 0.5000 0.0000 0.0000
H: 0.0000 0.0000 0.5000
H: 0.2500 0.3750 0.6250
H: 0.2500 0.8750 0.1250
H: 0.0000 0.5000 0.5000
H: 0.8750 0.2500 0.6250
H: 0.6250 0.7500 0.8750
H: 0.8750 0.6250 0.7500
Tl: 0.7126 0.1203 0.0290
Tl: 0.3164 0.5290 0.4087
Tl: 0.9710 0.3797 0.2874
Tl: 0.5290 0.2126 0.1203
Tl: 0.5923 0.7126 0.6836
Tl: 0.9710 0.5913 0.1836
Tl: 0.3164 0.7874 0.4077
Tl: 0.0913 0.9077 0.1203
Tl: 0.5913 0.9710 0.6836
Tl: 0.7126 0.5923 0.1836
Tl: 0.7874 0.4710 0.3797
Tl: 0.8164 0.9087 0.0290
Tl: 0.1203 0.7126 0.5290
Tl: 0.3797 0.4087 0.0923
Tl: 0.0923 0.9087 0.3797
Tl: 0.4077 0.1203 0.5913
Tl: 0.0923 0.1836 0.2126
Tl: 0.4710 0.6836 0.0913
Tl: 0.8164 0.9077 0.2874
Tl: 0.1203 0.4077 0.0913
Tl: 0.3797 0.9710 0.7874
Tl: 0.5913 0.6203 0.4077
Tl: 0.9087 0.8164 0.5290
Tl: 0.7874 0.3164 0.9077
Tl: 0.4087 0.3797 0.5923
Tl: 0.0913 0.1836 0.4710
Tl: 0.2126 0.6836 0.0923
Tl: 0.1836 0.0923 0.7126
Tl: 0.6203 0.0290 0.2126
Tl: 0.8797 0.5923 0.9087
Tl: 0.5290 0.3164 0.9087
Tl: 0.5923 0.8797 0.4087
Tl: 0.9077 0.8164 0.7874
Tl: 0.9077 0.0913 0.6203
Tl: 0.8797 0.2874 0.4710
Tl: 0.1836 0.0913 0.9710
Tl: 0.6203 0.5913 0.9077
Tl: 0.4087 0.0290 0.3164
Tl: 0.2874 0.4077 0.8164
Tl: 0.2126 0.5290 0.6203
Tl: 0.9087 0.0923 0.8797
Tl: 0.6836 0.2126 0.5923
Tl: 0.4710 0.7874 0.8797
Tl: 0.0290 0.4087 0.8164
Tl: 0.4077 0.2874 0.3164
Tl: 0.0290 0.6203 0.7126
Tl: 0.6836 0.4710 0.5913
Tl: 0.2874 0.8797 0.9710


Er5Te2Pd | PBE | optimized geometry

Computed properties:
Energy relative to the elements, uncorrected in eV per formula unit: -4.98
Crystal system: orthorhombic

a b c (Å): 5.8252 6.7995 13.1047
angles (deg): 90.00 90.00 115.36
Sites, in units of the cell vectors:
Er: 0.9409 0.8817 0.8864
Er: 0.9409 0.8817 0.6136
Er: 0.3895 0.7789 0.4140
Er: 0.3895 0.7789 0.0860
Er: 0.6373 0.2745 0.2500
Er: 0.3627 0.7255 0.7500
Er: 0.6105 0.2211 0.5860
Er: 0.6105 0.2211 0.9140
Er: 0.0591 0.1183 0.1136
Er: 0.0591 0.1183 0.3864
Te: 0.8054 0.6108 0.4174
Te: 0.8054 0.6108 0.0826
Te: 0.1946 0.3892 0.5826
Te: 0.1946 0.3892 0.9174
Pd: 0.7741 0.5481 0.7500
Pd: 0.2259 0.4519 0.2500


TiCoBi2 | PBE | optimized geometry

Computed properties:
ΔE_f in kJ per mole of atoms: 44.0
Crystal system: tetragonal

a b c (Å): 7.4331 7.4331 6.1607
angles (deg): 52.90 52.90 90.00
Site moments in Bohr magnetons follow the coordinates.
Sites, in units of the cell vectors:
Co: 0.0000 0.0000 0.0000  0.37
Co: 0.7500 0.2500 0.5000  0.36
Bi: 0.6652 0.1250 0.2500  -0.01
Bi: 0.0848 0.6250 0.2500  -0.01
Bi: 0.3750 0.3348 0.7500  0.00
Bi: 0.8750 0.9152 0.7500  0.00
Ti: 0.5000 0.5000 0.0000  0.09
Ti: 0.2500 0.7500 0.5000  0.08


Pr12Ga6Ru | PBE | optimized geometry

Computed properties:
ΔE_f in kJ per mole of atoms: -26.3
Crystal system: trigonal

a b c (Å): 8.3489 8.3489 8.3489
angles (deg): 93.04 93.04 93.04
Sites, in units of the cell vectors:
Pr: 0.8068 0.5717 0.4486
Pr: 0.4486 0.8068 0.5717
Pr: 0.5717 0.4486 0.8068
Pr: 0.1932 0.4283 0.5514
Pr: 0.5514 0.1932 0.4283
Pr: 0.4283 0.5514 0.1932
Pr: 0.9597 0.0814 0.3210
Pr: 0.9186 0.6790 0.0403
Pr: 0.6790 0.0403 0.9186
Pr: 0.0403 0.9186 0.6790
Pr: 0.0814 0.3210 0.9597
Pr: 0.3210 0.9597 0.0814
Ga: 0.6542 0.8550 0.2665
Ga: 0.7335 0.3458 0.1450
Ga: 0.1450 0.7335 0.3458
Ga: 0.3458 0.1450 0.7335
Ga: 0.2665 0.6542 0.8550
Ga: 0.8550 0.2665 0.6542
Ru: 0.0000 0.0000 0.0000


ZrV2Pt2 | PBE | optimized geometry

Computed properties:
ΔE_f in kJ per mole of atoms: -44.7
Crystal system: tetragonal

a b c (Å): 7.6676 7.6676 2.7385
angles (deg): 90.00 90.00 90.00
Site moments in Bohr magnetons follow the coordinates.
Sites, in units of the cell vectors:
Pt: 0.1782 0.6782 0.5000  0.02
Pt: 0.6782 0.8218 0.5000  0.02
Pt: 0.8218 0.3218 0.5000  0.02
Pt: 0.3218 0.1782 0.5000  0.02
Zr: 0.0000 0.0000 0.0000  0.12
Zr: 0.5000 0.5000 0.0000  0.12
V: 0.3848 0.8848 0.0000  0.41
V: 0.8848 0.6152 0.0000  0.41
V: 0.6152 0.1152 0.0000  0.41
V: 0.1152 0.3848 0.0000  0.41


Bi2SbOsC | PBE | optimized geometry

Computed properties:
Energy relative to the elements, uncorrected in eV per formula unit: 4.21
Crystal system: tetragonal

a b c (Å): 5.3444 3.9152 5.3444
angles (deg): 90.00 90.00 90.00
Sites, in units of the cell vectors:
Sb: 0.5000 0.5000 0.5000
C: 0.0000 0.0000 0.0000
Os: 0.0000 0.5000 0.0000
Bi: 0.0000 0.0000 0.5000
Bi: 0.5000 0.0000 0.0000


SmSi2Ni9 | PBE | optimized geometry

Computed properties:
Energy relative to the elements, uncorrected in eV per formula unit: -5.70
Crystal system: tetragonal

a b c (Å): 7.5973 7.5973 7.5973
angles (deg): 99.57 99.57 131.88
Sites, in units of the cell vectors:
Sm: 0.5000 0.5000 0.0000
Sm: 0.7500 0.2500 0.5000
Si: 0.6250 0.8750 0.7500
Si: 0.1250 0.3750 0.2500
Si: 0.1250 0.8750 0.7500
Si: 0.1250 0.8750 0.2500
Ni: 0.2500 0.7500 0.5000
Ni: 0.0000 0.0000 0.0000
Ni: 0.6878 0.0152 0.0789
Ni: 0.6878 0.6089 0.6726
Ni: 0.2652 0.4378 0.5789
Ni: 0.2652 0.6863 0.8274
Ni: 0.9363 0.0152 0.3274
Ni: 0.9363 0.6089 0.9211
Ni: 0.8589 0.4378 0.1726
Ni: 0.8589 0.6863 0.4211
Ni: 0.5622 0.7348 0.4211
Ni: 0.5622 0.1411 0.8274
Ni: 0.9848 0.3122 0.9211
Ni: 0.9848 0.0637 0.6726
Ni: 0.3137 0.7348 0.1726
Ni: 0.3137 0.1411 0.5789
Ni: 0.3911 0.3122 0.3274
Ni: 0.3911 0.0637 0.0789